## w
DFT (PBE) results for a geometry-optimized HoTm2Zn2 structure.

## Properties
space group = P2_1/m (11)

Cell: 3.5583 5.0939 13.1657 Å, 90.00 97.77 90.00°
Closest atoms and distances in Å follow each position.
Positions (direct):
Ho 0.1453 0.2500 0.2882  6 Zn 3.06-3.11
Ho 0.8547 0.7500 0.7118  6 Zn 3.06-3.11
Tm 0.0461 0.7500 0.0923  8 Zn 3.03-3.11
Tm 0.2323 0.7500 0.4652  2 Zn 3.00, 4 Tm 3.24
Tm 0.7677 0.2500 0.5348  2 Zn 3.00, 4 Tm 3.24
Tm 0.9539 0.2500 0.9077  8 Zn 3.03-3.11
Zn 0.3597 0.2500 0.7200  4 Tm 3.00-3.03, 4 Ho 3.11
Zn 0.4517 0.7500 0.9031  6 Tm 3.04-3.11, 2 Ho 3.06-3.07
Zn 0.5483 0.2500 0.0969  6 Tm 3.04-3.11, 2 Ho 3.06-3.07
Zn 0.6403 0.7500 0.2800  4 Tm 3.00-3.03, 4 Ho 3.11

=====

## x
DFT (PBE) results for a geometry-optimized HoTm2Zn2 structure.

## Properties
space group = P2_1/m (11)

Cell: 4.4290 4.3533 12.9339 Å, 90.00 99.75 90.00°
Closest atoms and distances in Å follow each position.
Positions (direct):
Ho 0.1390 0.2500 0.2766  5 Zn 2.88-3.20
Ho 0.8610 0.7500 0.7234  5 Zn 2.88-3.20
Tm 0.2596 0.7500 0.5197  2 Zn 2.84, 4 Tm 3.14-3.15
Tm 0.4453 0.2500 0.8892  7 Zn 2.88-3.20
Tm 0.5547 0.7500 0.1108  7 Zn 2.88-3.20
Tm 0.7404 0.2500 0.4803  2 Zn 2.84, 4 Tm 3.14-3.15
Zn 0.0256 0.2500 0.0508  2 Zn 2.53
Zn 0.3310 0.2500 0.6631  3 Tm 2.84-2.88
Zn 0.6690 0.7500 0.3369  3 Tm 2.84-2.88
Zn 0.9744 0.7500 0.9492  2 Zn 2.53

=====

Result of the stability comparison: w is the most stable of them.